Record 1
Entry from Alexandria via LeMat-Bulk: KAc2PrS4 after structural relaxation (PBE-GGA).

Structure (CIF):
```
data_KAc2PrS4
_chemical_formula_sum 'K1 Ac2 Pr1 S4'
_cell_length_a 7.3441
_cell_length_b 4.2764
_cell_length_c 7.5206
_cell_angle_alpha 90.00
_cell_angle_beta 109.31
_cell_angle_gamma 90.00
_space_group_name_H-M_alt 'P 1 2/m 1'
_space_group_IT_number 10
loop_
_space_group_symop_operation_xyz
'x,y,z'
'-x,-y,-z'
'-x,y,-z'
'x,-y,z'
loop_
_atom_site_label
_atom_site_fract_x
_atom_site_fract_y
_atom_site_fract_z
_atom_site_occupancy
K1 0.0000 0.0000 0.0000 1
Ac1 0.5000 0.0000 0.5000 1
Ac2 0.5000 0.5000 0.0000 1
Pr1 0.0000 0.5000 0.5000 1
S1 0.2453 0.0000 0.7415 1
S2 0.2556 0.5000 0.2623 1
```

Values from the calculation:
The value obtained for the raw formation energy is -1.8961 eV per atom.

Record 2
Entry from Alexandria via LeMat-Bulk: KAc4PrS8 after structural relaxation (PBE-GGA).

Structure (CIF):
```
data_KAc4PrS8
_chemical_formula_sum 'K3 Ac12 Pr3 S24'
_cell_length_a 8.8929
_cell_length_b 8.8929
_cell_length_c 21.3079
_cell_angle_alpha 90.00
_cell_angle_beta 90.00
_cell_angle_gamma 120.00
_space_group_name_H-M_alt 'R 3 m'
_space_group_IT_number 160
_space_group_name_Hall 'R 3 -2"'
loop_
_atom_site_label
_atom_site_fract_x
_atom_site_fract_y
_atom_site_fract_z
_atom_site_occupancy
K1 0.0000 0.0000 0.0000 1
Ac1 0.0000 0.0000 0.2471 1
Ac2 0.1707 0.3413 0.4557 1
Pr1 0.0000 0.0000 0.6278 1
S1 0.0000 0.0000 0.3815 1
S2 0.0000 0.0000 0.8584 1
S3 0.0460 0.5230 0.3751 1
S4 0.1798 0.3596 0.2057 1
```

Values from the calculation:
The value obtained for the raw formation energy is -1.9812 eV per atom.

Record 3
Entry from Alexandria via LeMat-Bulk: K3AcPr2S6 after structural relaxation (PBE-GGA).

Structure (CIF):
```
data_K3AcPr2S6
_chemical_formula_sum 'K6 Ac2 Pr4 S12'
_cell_length_a 7.4491
_cell_length_b 12.8975
_cell_length_c 7.8127
_cell_angle_alpha 90.00
_cell_angle_beta 108.56
_cell_angle_gamma 90.00
_space_group_name_H-M_alt 'C 1 2/m 1'
_space_group_IT_number 12
loop_
_space_group_symop_operation_xyz
'x,y,z'
'-x,-y,-z'
'-x,y,-z'
'x,-y,z'
'x+1/2,y+1/2,z'
'-x+1/2,-y+1/2,-z'
'-x+1/2,y+1/2,-z'
'x+1/2,-y+1/2,z'
loop_
_atom_site_label
_atom_site_fract_x
_atom_site_fract_y
_atom_site_fract_z
_atom_site_occupancy
K1 0.0000 0.0000 0.0000 1
K2 0.0000 0.3331 0.0000 1
Ac1 0.0000 0.5000 0.5000 1
Pr1 0.0000 0.1667 0.5000 1
S1 0.2276 0.0000 0.7106 1
S2 0.2412 0.3287 0.7100 1
```

Values from the calculation:
The value obtained for the raw formation energy is -1.8562 eV per atom.

Record 4
Entry from Alexandria via LeMat-Bulk: K4Ac3PrSe8 after structural relaxation (PBE-GGA).

Structure (CIF):
```
data_K4Ac3PrSe8
_chemical_formula_sum 'K12 Ac9 Pr3 Se24'
_cell_length_a 9.0670
_cell_length_b 9.0670
_cell_length_c 23.1535
_cell_angle_alpha 90.00
_cell_angle_beta 90.00
_cell_angle_gamma 120.00
_space_group_name_H-M_alt 'R -3 m'
_space_group_IT_number 166
_space_group_name_Hall '-R 3 2"'
loop_
_atom_site_label
_atom_site_fract_x
_atom_site_fract_y
_atom_site_fract_z
_atom_site_occupancy
K1 0.0000 0.0000 0.0000 1
K2 0.0000 0.5000 0.0000 1
Ac1 0.0000 0.5000 0.5000 1
Pr1 0.0000 0.0000 0.5000 1
Se1 0.0000 0.0000 0.2399 1
Se2 0.0085 0.5042 0.2384 1
```

Values from the calculation:
The value obtained for the raw formation energy is -1.7961 eV per atom.

no.,V (Å³/f.u.)
1,223
2,486
3,356
4,549